[1]
ZnOs3Pb PBE-GGA relaxed; calculated total energy = -5.773 eV per atom; Fermi-level density of states = 7.71 states/eV/f.u.
1.0
4.565 0.000 0.000
0.000 4.565 0.000
0.000 0.000 4.565
Zn Os Pb
1 3 1
direct
0.000 0.000 0.000 Zn
0.000 0.000 0.500 Os
0.000 0.500 0.000 Os
0.500 0.000 0.000 Os
0.500 0.500 0.500 Pb



[2]
ZnOs2Pb PBE-GGA relaxed; calculated total energy = -6.101 eV per atom; Fermi-level density of states = 3.56 states/eV/f.u.
1.0
2.938 0.000 0.000
0.000 4.419 0.000
-0.023 0.000 5.430
Zn Os Pb
1 2 1
direct
0.000 0.000 0.000 Zn
0.269 0.500 0.801 Os
0.731 0.500 0.199 Os
0.500 0.000 0.500 Pb



[3]
ZnOsPb PBE-GGA relaxed; calculated total energy = -4.866 eV per atom; Fermi-level density of states = 0.29 states/eV/f.u.
1.0
-1.690 1.690 4.743
1.690 -1.690 4.743
1.690 1.690 -4.743
Zn Os Pb
1 1 1
direct
0.000 0.000 0.000 Zn
0.383 0.383 0.000 Os
0.699 0.699 0.000 Pb



[4]
ZnOs2Pb PBE-GGA relaxed; calculated total energy = -5.976 eV per atom; Fermi-level density of states = 3.81 states/eV/f.u.
1.0
-2.023 2.023 4.062
2.023 -2.023 4.062
2.023 2.023 -4.062
Zn Os Pb
1 2 1
direct
0.000 0.000 0.000 Zn
0.250 0.750 0.500 Os
0.500 0.500 0.000 Os
0.750 0.250 0.500 Pb



[5]
ZnOsPb PBE-GGA relaxed; calculated total energy = -4.753 eV per atom; Fermi-level density of states = 1.49 states/eV/f.u.
1.0
0.000 3.150 3.150
3.150 0.000 3.150
3.150 3.150 0.000
Zn Os Pb
1 1 1
direct
0.000 0.000 0.000 Zn
0.750 0.750 0.750 Os
0.500 0.500 0.500 Pb



[6]
ZnOs2Pb PBE-GGA relaxed; calculated total energy = -6.165 eV per atom; Fermi-level density of states = 3.47 states/eV/f.u.
1.0
4.411 -1.495 0.000
4.411 1.495 0.000
-0.877 0.000 5.199
Zn Os Pb
1 2 1
direct
0.000 0.000 0.000 Zn
0.263 0.263 0.800 Os
0.737 0.737 0.200 Os
0.500 0.500 0.500 Pb



[7]
ZrOsPb2 PBE-GGA relaxed; calculated total energy = -6.218 eV per atom; Fermi-level density of states = 4.01 states/eV/f.u.
1.0
1.656 0.956 9.249
-1.656 0.956 9.249
0.000 -1.912 9.249
Zr Os Pb
1 1 2
direct
0.000 0.000 0.000 Zr
0.500 0.500 0.500 Os
0.242 0.242 0.242 Pb
0.758 0.758 0.758 Pb



[8]
ZrOsPb2 PBE-GGA relaxed; calculated total energy = -6.330 eV per atom; Fermi-level density of states = 2.16 states/eV/f.u.
1.0
3.361 0.000 0.000
0.000 3.361 0.000
0.000 0.000 7.508
Zr Os Pb
1 1 2
direct
0.000 0.000 0.000 Zr
0.000 0.000 0.500 Os
0.500 0.500 0.276 Pb
0.500 0.500 0.724 Pb



[9]
ZrOsPb4 PBE-GGA relaxed; calculated total energy = -4.629 eV per atom; Fermi-level density of states = 5.20 states/eV/f.u.
1.0
0.000 4.352 4.352
4.352 0.000 4.352
4.352 4.352 0.000
Zr Os Pb
1 1 4
direct
0.000 0.000 0.000 Zr
0.750 0.750 0.750 Os
0.375 0.375 0.375 Pb
0.375 0.375 0.875 Pb
0.375 0.875 0.375 Pb
0.875 0.375 0.375 Pb



[10]
ZrOsPb2 PBE-GGA relaxed; calculated total energy = -6.346 eV per atom; Fermi-level density of states = 2.58 states/eV/f.u.
1.0
3.346 0.000 0.000
0.000 4.585 0.000
-0.827 0.000 5.723
Zr Os Pb
1 1 2
direct
0.000 0.000 0.000 Zr
0.500 0.000 0.500 Os
0.319 0.500 0.739 Pb
0.681 0.500 0.261 Pb



[11]
ZrOsPb2 PBE-GGA relaxed; calculated total energy = -6.410 eV per atom; Fermi-level density of states = 0.18 states/eV/f.u.
1.0
0.000 3.525 3.525
3.525 0.000 3.525
3.525 3.525 0.000
Zr Os Pb
1 1 2
direct
0.000 0.000 0.000 Zr
0.750 0.750 0.750 Os
0.250 0.250 0.250 Pb
0.500 0.500 0.500 Pb



[12]
ZrOsPb2 PBE-GGA relaxed; calculated total energy = -6.186 eV per atom; Fermi-level density of states = 2.56 states/eV/f.u.
1.0
-4.011 4.011 2.936
4.011 -4.011 2.936
4.011 4.011 -2.936
Zr Os Pb
2 2 4
direct
0.000 0.000 0.000 Zr
0.750 0.250 0.500 Zr
0.250 0.750 0.500 Os
0.500 0.500 0.000 Os
0.163 0.625 0.038 Pb
0.375 0.413 0.538 Pb
0.587 0.125 0.962 Pb
0.875 0.837 0.462 Pb